[1]
This record from the Alexandria database describes a relaxed HgH3S crystal. The functional is PBE.

Geometry as CIF:
```
data_HgH3S
_space_group_name_H-M_alt 'P 1'
_space_group_IT_number 1
_space_group_name_Hall 'P 1'
_cell_length_a 3.849
_cell_length_b 3.849
_cell_length_c 3.849
_cell_angle_alpha 90.00
_cell_angle_beta 90.00
_cell_angle_gamma 90.00
loop_
_atom_site_label
_atom_site_fract_x
_atom_site_fract_y
_atom_site_fract_z
_atom_site_occupancy
Hg1 0.000 0.000 0.000 1
H1 0.000 0.000 0.500 1
H2 0.000 0.500 0.000 1
H3 0.500 0.000 0.000 1
S1 0.500 0.500 0.500 1
```

Results
**Distance to the lowest polymorph of the same formula**: 364.6 meV/atom


[2]
This record from the Alexandria database describes a relaxed HgH2S crystal. The functional is PBE.

Geometry as CIF:
```
data_HgH2S
_space_group_name_H-M_alt 'P 1'
_space_group_IT_number 1
_space_group_name_Hall 'P 1'
_cell_length_a 7.245
_cell_length_b 7.245
_cell_length_c 7.245
_cell_angle_alpha 24.91
_cell_angle_beta 24.91
_cell_angle_gamma 24.91
loop_
_atom_site_label
_atom_site_fract_x
_atom_site_fract_y
_atom_site_fract_z
_atom_site_occupancy
Hg1 0.000 0.000 0.000 1
H1 0.145 0.145 0.145 1
H2 0.855 0.855 0.855 1
S1 0.500 0.500 0.500 1
```

Results
**Distance to the lowest polymorph of the same formula**: 597.9 meV/atom


[3]
This record from the Alexandria database describes a relaxed Hg3HS crystal. The functional is PBE.

Geometry as CIF:
```
data_Hg3HS
_space_group_name_H-M_alt 'P 1'
_space_group_IT_number 1
_space_group_name_Hall 'P 1'
_cell_length_a 4.613
_cell_length_b 4.613
_cell_length_c 4.613
_cell_angle_alpha 90.00
_cell_angle_beta 90.00
_cell_angle_gamma 90.00
loop_
_atom_site_label
_atom_site_fract_x
_atom_site_fract_y
_atom_site_fract_z
_atom_site_occupancy
Hg1 0.000 0.000 0.500 1
Hg2 0.000 0.500 0.000 1
Hg3 0.500 0.000 0.000 1
H1 0.000 0.000 0.000 1
S1 0.500 0.500 0.500 1
```

Results
**Distance to the lowest polymorph of the same formula**: 532.1 meV/atom


[4]
This record from the Alexandria database describes a relaxed HgH2S crystal. The functional is PBE.

Geometry as CIF:
```
data_HgH2S
_space_group_name_H-M_alt 'P 1'
_space_group_IT_number 1
_space_group_name_Hall 'P 1'
_cell_length_a 5.496
_cell_length_b 5.496
_cell_length_c 5.496
_cell_angle_alpha 120.13
_cell_angle_beta 120.13
_cell_angle_gamma 89.78
loop_
_atom_site_label
_atom_site_fract_x
_atom_site_fract_y
_atom_site_fract_z
_atom_site_occupancy
Hg1 0.375 0.625 0.750 1
Hg2 0.625 0.375 0.250 1
H1 0.000 0.000 0.000 1
H2 0.000 0.000 0.500 1
H3 0.000 0.500 0.000 1
H4 0.500 0.000 0.500 1
S1 0.125 0.875 0.250 1
S2 0.875 0.125 0.750 1
```

Results
**Distance to the lowest polymorph of the same formula**: 187.0 meV/atom


Q: Look up the distance to the lowest polymorph of the same formula of the first one.
A: 364.6 meV/atom


Repeat the third record exactly.
This record from the Alexandria database describes a relaxed Hg3HS crystal. The functional is PBE.

Geometry as CIF:
```
data_Hg3HS
_space_group_name_H-M_alt 'P 1'
_space_group_IT_number 1
_space_group_name_Hall 'P 1'
_cell_length_a 4.613
_cell_length_b 4.613
_cell_length_c 4.613
_cell_angle_alpha 90.00
_cell_angle_beta 90.00
_cell_angle_gamma 90.00
loop_
_atom_site_label
_atom_site_fract_x
_atom_site_fract_y
_atom_site_fract_z
_atom_site_occupancy
Hg1 0.000 0.000 0.500 1
Hg2 0.000 0.500 0.000 1
Hg3 0.500 0.000 0.000 1
H1 0.000 0.000 0.000 1
S1 0.500 0.500 0.500 1
```

Results
**Distance to the lowest polymorph of the same formula**: 532.1 meV/atom


Q: Which formula does entry 1 have?
A: HgH3S


Q: What is the distance to the lowest polymorph of the same formula in the third record?
A: 532.1 meV/atom